1.
Rb4ZnSi2O7 after structural relaxation, computed with GGA-PBE.

Cell lengths 6.302, 6.985, 7.105 Å; angles 113.51, 101.17, 106.61 degrees
Atoms (fractional coordinates):
Rb1 0.075 0.047 0.282
Rb2 0.318 0.581 0.226
Rb3 0.682 0.419 0.774
Rb4 0.925 0.953 0.718
Zn1 0.500 0.000 0.000
Si1 0.217 0.575 0.725
Si2 0.783 0.425 0.275
O1 0.000 0.500 0.500
O2 0.180 0.764 0.936
O3 0.211 0.349 0.740
O4 0.471 0.732 0.724
O5 0.529 0.268 0.276
O6 0.789 0.651 0.260
O7 0.820 0.236 0.064

Computed properties:
* offset from the most stable computed form: 0 meV/atom
* space-group type: P-1

2.
La3Zn2Ge4Au2 after structural relaxation, computed with GGA-PBE.

Cell lengths 13.333, 13.333, 13.333 Å; angles 161.54, 160.86, 26.71 degrees
Atoms (fractional coordinates):
La1 0.000 0.000 0.000
La2 0.352 0.852 0.500
La3 0.648 0.148 0.500
Zn1 0.250 0.250 0.000
Zn2 0.750 0.750 0.000
Ge1 0.195 0.695 0.500
Ge2 0.451 0.451 0.000
Ge3 0.549 0.549 0.000
Ge4 0.805 0.305 0.500
Au1 0.096 0.596 0.500
Au2 0.904 0.404 0.500

Computed properties:
* space-group type: Immm
* E: -50.16 eV/cell